Entry 1:
## Rb2GeO (PBE)

Data for crystalline Rb2GeO at its relaxed geometry.

Summary:
D(E_F): 5.78 states/eV/f.u.
Uncorrected formation energy: 0.88 eV per formula unit
Crystal system: cubic
Total magnetization: 0.50 μB/atom
Distance to the lowest polymorph of the same formula: 61.6 kJ per mole of atoms

a = 7.9283 Å, b = 7.9283 Å, c = 7.9283 Å
α = 90.00°, β = 90.00°, γ = 90.00°
Closest atoms and distances in Å follow each position.
Space group Fm-3m (No. 225)
Inequivalent atoms, fractional coordinates:
Rb (0.2500, 0.2500, 0.2500)  4 O 3.43, 4 Ge 3.43
Ge (0.0000, 0.0000, 0.0000)  8 Rb 3.43
O (0.0000, 0.0000, 0.5000)  8 Rb 3.43

Entry 2:
## Rb6Ge2O7 (PBE)

Data for crystalline Rb6Ge2O7 at its relaxed geometry.

Summary:
D(E_F): 0.00 states/eV/f.u.
Uncorrected formation energy: -24.96 eV per formula unit
Crystal system: monoclinic
Total magnetization: 0.01 μB/atom

a = 6.9306 Å, b = 9.5597 Å, c = 11.7372 Å
α = 90.00°, β = 124.57°, γ = 90.00°
Closest atoms and distances in Å follow each position.
Space group P2_1/c (No. 14)
Inequivalent atoms, fractional coordinates:
Rb (0.0392, 0.1468, 0.4185)  5 O 2.93-3.10
Rb (0.2086, 0.5270, 0.4568)  5 O 2.81-3.12
Rb (0.3987, 0.2133, 0.2786)  6 O 2.92-3.12
Ge (0.3213, 0.6388, 0.8723)  4 O 1.77-1.85
O (0.0672, 0.6608, 0.8730)  1 Ge 1.78
O (0.2541, 0.5841, 0.7092)  1 Ge 1.77
O (0.4935, 0.2117, 0.0652)  1 Ge 1.78
O (0.5000, 0.0000, 0.5000)  2 Ge 1.85

Question: What is the uncorrected formation energy in the first record?
Answer: 0.88 eV per formula unit

Copy entry 2 word for word.
## Rb6Ge2O7 (PBE)

Data for crystalline Rb6Ge2O7 at its relaxed geometry.

Summary:
D(E_F): 0.00 states/eV/f.u.
Uncorrected formation energy: -24.96 eV per formula unit
Crystal system: monoclinic
Total magnetization: 0.01 μB/atom

a = 6.9306 Å, b = 9.5597 Å, c = 11.7372 Å
α = 90.00°, β = 124.57°, γ = 90.00°
Closest atoms and distances in Å follow each position.
Space group P2_1/c (No. 14)
Inequivalent atoms, fractional coordinates:
Rb (0.0392, 0.1468, 0.4185)  5 O 2.93-3.10
Rb (0.2086, 0.5270, 0.4568)  5 O 2.81-3.12
Rb (0.3987, 0.2133, 0.2786)  6 O 2.92-3.12
Ge (0.3213, 0.6388, 0.8723)  4 O 1.77-1.85
O (0.0672, 0.6608, 0.8730)  1 Ge 1.78
O (0.2541, 0.5841, 0.7092)  1 Ge 1.77
O (0.4935, 0.2117, 0.0652)  1 Ge 1.78
O (0.5000, 0.0000, 0.5000)  2 Ge 1.85

Repeat the second record exactly.
## Rb6Ge2O7 (PBE)

Data for crystalline Rb6Ge2O7 at its relaxed geometry.

Summary:
D(E_F): 0.00 states/eV/f.u.
Uncorrected formation energy: -24.96 eV per formula unit
Crystal system: monoclinic
Total magnetization: 0.01 μB/atom

a = 6.9306 Å, b = 9.5597 Å, c = 11.7372 Å
α = 90.00°, β = 124.57°, γ = 90.00°
Closest atoms and distances in Å follow each position.
Space group P2_1/c (No. 14)
Inequivalent atoms, fractional coordinates:
Rb (0.0392, 0.1468, 0.4185)  5 O 2.93-3.10
Rb (0.2086, 0.5270, 0.4568)  5 O 2.81-3.12
Rb (0.3987, 0.2133, 0.2786)  6 O 2.92-3.12
Ge (0.3213, 0.6388, 0.8723)  4 O 1.77-1.85
O (0.0672, 0.6608, 0.8730)  1 Ge 1.78
O (0.2541, 0.5841, 0.7092)  1 Ge 1.77
O (0.4935, 0.2117, 0.0652)  1 Ge 1.78
O (0.5000, 0.0000, 0.5000)  2 Ge 1.85